[1]
A plane-wave DFT calculation with PBE was carried out for a relaxed structure of Sm8Tl2Cd.

Cell and atoms, written as CIF:
```
data_Sm8Tl2Cd
_cell_length_a 18.337
_cell_length_b 5.334
_cell_length_c 7.151
_cell_angle_alpha 90.00
_cell_angle_beta 98.50
_cell_angle_gamma 90.00
_symmetry_space_group_name_H-M 'C 1 2/m 1'
_symmetry_Int_Tables_number 12
_symmetry_space_group_name_Hall '-C 2y'
loop_
_atom_site_label
_atom_site_fract_x
_atom_site_fract_y
_atom_site_fract_z
_atom_site_occupancy
Sm1 0.031 0.000 0.243 1
Sm2 0.090 0.500 0.943 1
Sm3 0.162 0.500 0.437 1
Sm4 0.182 0.000 0.777 1
Tl1 0.207 0.000 0.223 1
Cd1 0.000 0.500 0.500 1
```

[2]
A plane-wave DFT calculation with PBE was carried out for a relaxed structure of Sm6Tl3Cd.

Cell and atoms, written as CIF:
```
data_Sm6Tl3Cd
_cell_length_a 9.554
_cell_length_b 5.426
_cell_length_c 11.906
_cell_angle_alpha 90.00
_cell_angle_beta 107.59
_cell_angle_gamma 90.00
_symmetry_space_group_name_H-M 'P 1 21/m 1'
_symmetry_Int_Tables_number 11
_symmetry_space_group_name_Hall '-P 2yb'
loop_
_atom_site_label
_atom_site_fract_x
_atom_site_fract_y
_atom_site_fract_z
_atom_site_occupancy
Sm1 0.036 0.250 0.409 1
Sm2 0.162 0.750 0.180 1
Sm3 0.253 0.250 0.001 1
Sm4 0.348 0.750 0.808 1
Sm5 0.369 0.250 0.343 1
Sm6 0.408 0.250 0.620 1
Tl1 0.034 0.750 0.885 1
Tl2 0.130 0.250 0.716 1
Tl3 0.272 0.750 0.474 1
Cd1 0.457 0.750 0.098 1
```

[3]
A plane-wave DFT calculation with PBE was carried out for a relaxed structure of Sm3Tl4Cd2.

Cell and atoms, written as CIF:
```
data_Sm3Tl4Cd2
_cell_length_a 11.629
_cell_length_b 4.993
_cell_length_c 9.437
_cell_angle_alpha 90.00
_cell_angle_beta 115.18
_cell_angle_gamma 90.00
_symmetry_space_group_name_H-M 'C 1 2/m 1'
_symmetry_Int_Tables_number 12
_symmetry_space_group_name_Hall '-C 2y'
loop_
_atom_site_label
_atom_site_fract_x
_atom_site_fract_y
_atom_site_fract_z
_atom_site_occupancy
Sm1 0.000 0.000 0.000 1
Sm2 0.170 0.500 0.669 1
Tl1 0.091 0.000 0.426 1
Tl2 0.184 0.500 0.019 1
Cd1 0.102 0.500 0.273 1
```

[4]
A plane-wave DFT calculation with PBE was carried out for a relaxed structure of Sm5TlCd2.

Cell and atoms, written as CIF:
```
data_Sm5TlCd2
_cell_length_a 7.921
_cell_length_b 7.921
_cell_length_c 15.531
_cell_angle_alpha 90.00
_cell_angle_beta 90.00
_cell_angle_gamma 90.00
_symmetry_space_group_name_H-M 'I 4/m c m'
_symmetry_Int_Tables_number 140
_symmetry_space_group_name_Hall '-I 4 2c'
loop_
_atom_site_label
_atom_site_fract_x
_atom_site_fract_y
_atom_site_fract_z
_atom_site_occupancy
Sm1 0.000 0.000 0.000 1
Sm2 0.163 0.337 0.155 1
Tl1 0.000 0.000 0.250 1
Cd1 0.128 0.372 0.500 1
```

[5]
A plane-wave DFT calculation with PBE was carried out for a relaxed structure of Sm4Tl5Cd.

Cell and atoms, written as CIF:
```
data_Sm4Tl5Cd
_cell_length_a 17.944
_cell_length_b 5.138
_cell_length_c 6.577
_cell_angle_alpha 90.00
_cell_angle_beta 110.30
_cell_angle_gamma 90.00
_symmetry_space_group_name_H-M 'C 1 2/m 1'
_symmetry_Int_Tables_number 12
_symmetry_space_group_name_Hall '-C 2y'
loop_
_atom_site_label
_atom_site_fract_x
_atom_site_fract_y
_atom_site_fract_z
_atom_site_occupancy
Sm1 0.088 0.000 0.355 1
Sm2 0.199 0.500 0.112 1
Tl1 0.000 0.500 0.500 1
Tl2 0.103 0.000 0.866 1
Tl3 0.205 0.500 0.613 1
Cd1 0.000 0.500 0.000 1
```

[6]
A plane-wave DFT calculation with PBE was carried out for a relaxed structure of Sm11Tl4Cd9.

Cell and atoms, written as CIF:
```
data_Sm11Tl4Cd9
_cell_length_a 16.186
_cell_length_b 22.042
_cell_length_c 3.776
_cell_angle_alpha 90.00
_cell_angle_beta 90.00
_cell_angle_gamma 90.00
_symmetry_space_group_name_H-M 'C m m m'
_symmetry_Int_Tables_number 65
_symmetry_space_group_name_Hall '-C 2 2'
loop_
_atom_site_label
_atom_site_fract_x
_atom_site_fract_y
_atom_site_fract_z
_atom_site_occupancy
Sm1 0.000 0.000 0.000 1
Sm2 0.000 0.179 0.000 1
Sm3 0.000 0.357 0.000 1
Sm4 0.233 0.000 0.000 1
Sm5 0.235 0.172 0.000 1
Tl1 0.148 0.415 0.500 1
Cd1 0.000 0.500 0.500 1
Cd2 0.110 0.088 0.500 1
Cd3 0.118 0.265 0.500 1
```

[7]
A plane-wave DFT calculation with PBE was carried out for a relaxed structure of Sm4Tl3Cd.

Cell and atoms, written as CIF:
```
data_Sm4Tl3Cd
_cell_length_a 7.683
_cell_length_b 7.695
_cell_length_c 15.466
_cell_angle_alpha 90.00
_cell_angle_beta 90.00
_cell_angle_gamma 90.00
_symmetry_space_group_name_H-M 'F m m m'
_symmetry_Int_Tables_number 69
_symmetry_space_group_name_Hall '-F 2 2'
loop_
_atom_site_label
_atom_site_fract_x
_atom_site_fract_y
_atom_site_fract_z
_atom_site_occupancy
Sm1 0.250 0.250 0.124 1
Tl1 0.000 0.000 0.000 1
Tl2 0.000 0.000 0.253 1
Cd1 0.000 0.000 0.500 1
```

[8]
A plane-wave DFT calculation with PBE was carried out for a relaxed structure of Sm4Tl3Cd.

Cell and atoms, written as CIF:
```
data_Sm4Tl3Cd
_cell_length_a 3.909
_cell_length_b 4.941
_cell_length_c 12.241
_cell_angle_alpha 90.00
_cell_angle_beta 90.00
_cell_angle_gamma 90.00
_symmetry_space_group_name_H-M 'P m m 2'
_symmetry_Int_Tables_number 25
_symmetry_space_group_name_Hall 'P 2 -2'
loop_
_atom_site_label
_atom_site_fract_x
_atom_site_fract_y
_atom_site_fract_z
_atom_site_occupancy
Sm1 0.000 0.000 0.000 1
Sm2 0.000 0.500 0.299 1
Sm3 0.500 0.000 0.494 1
Sm4 0.500 0.500 0.798 1
Tl1 0.000 0.000 0.734 1
Tl2 0.000 0.500 0.563 1
Tl3 0.500 0.500 0.067 1
Cd1 0.500 0.000 0.226 1
```

[9]
A plane-wave DFT calculation with PBE was carried out for a relaxed structure of Sm2TlCd.

Cell and atoms, written as CIF:
```
data_Sm2TlCd
_cell_length_a 5.415
_cell_length_b 5.415
_cell_length_c 3.865
_cell_angle_alpha 90.00
_cell_angle_beta 90.00
_cell_angle_gamma 90.00
_symmetry_space_group_name_H-M 'P 4/m m m'
_symmetry_Int_Tables_number 123
_symmetry_space_group_name_Hall '-P 4 2'
loop_
_atom_site_label
_atom_site_fract_x
_atom_site_fract_y
_atom_site_fract_z
_atom_site_occupancy
Sm1 0.000 0.500 0.000 1
Tl1 0.000 0.000 0.500 1
Cd1 0.500 0.500 0.500 1
```

[10]
A plane-wave DFT calculation with PBE was carried out for a relaxed structure of SmTl2Cd.

Cell and atoms, written as CIF:
```
data_SmTl2Cd
_cell_length_a 4.9159
_cell_length_b 4.9159
_cell_length_c 15.7110
_cell_angle_alpha 90.00
_cell_angle_beta 90.00
_cell_angle_gamma 120.00
_symmetry_space_group_name_H-M 'R -3 m'
_symmetry_Int_Tables_number 166
_symmetry_space_group_name_Hall '-R 3 2"'
loop_
_atom_site_label
_atom_site_fract_x
_atom_site_fract_y
_atom_site_fract_z
_atom_site_occupancy
Sm1 0.0000 0.0000 0.0000 1
Tl1 0.0000 0.0000 0.2372 1
Cd1 0.0000 0.0000 0.5000 1
```

[11]
A plane-wave DFT calculation with PBE was carried out for a relaxed structure of Sm6TlCd.

Cell and atoms, written as CIF:
```
data_Sm6TlCd
_cell_length_a 5.171
_cell_length_b 5.171
_cell_length_c 18.605
_cell_angle_alpha 90.00
_cell_angle_beta 90.00
_cell_angle_gamma 90.00
_symmetry_space_group_name_H-M 'I 4/m m m'
_symmetry_Int_Tables_number 139
_symmetry_space_group_name_Hall '-I 4 2'
loop_
_atom_site_label
_atom_site_fract_x
_atom_site_fract_y
_atom_site_fract_z
_atom_site_occupancy
Sm1 0.000 0.000 0.249 1
Sm2 0.000 0.500 0.114 1
Tl1 0.000 0.000 0.500 1
Cd1 0.000 0.000 0.000 1
```

[12]
A plane-wave DFT calculation with PBE was carried out for a relaxed structure of SmTlCd6.

Cell and atoms, written as CIF:
```
data_SmTlCd6
_cell_length_a 4.867
_cell_length_b 7.793
_cell_length_c 10.345
_cell_angle_alpha 90.00
_cell_angle_beta 90.00
_cell_angle_gamma 90.00
_symmetry_space_group_name_H-M 'A m m 2'
_symmetry_Int_Tables_number 38
_symmetry_space_group_name_Hall 'A 2 -2'
loop_
_atom_site_label
_atom_site_fract_x
_atom_site_fract_y
_atom_site_fract_z
_atom_site_occupancy
Sm1 0.000 0.000 0.000 1
Tl1 0.500 0.000 0.230 1
Cd1 0.000 0.000 0.429 1
Cd2 0.000 0.195 0.711 1
Cd3 0.500 0.000 0.800 1
Cd4 0.500 0.207 0.510 1
```

[13]
A plane-wave DFT calculation with PBE was carried out for a relaxed structure of Sm8Tl5Cd.

Cell and atoms, written as CIF:
```
data_Sm8Tl5Cd
_cell_length_a 9.504
_cell_length_b 9.504
_cell_length_c 9.511
_cell_angle_alpha 90.00
_cell_angle_beta 90.00
_cell_angle_gamma 90.00
_symmetry_space_group_name_H-M 'I -4'
_symmetry_Int_Tables_number 82
_symmetry_space_group_name_Hall 'I -4'
loop_
_atom_site_label
_atom_site_fract_x
_atom_site_fract_y
_atom_site_fract_z
_atom_site_occupancy
Sm1 0.071 0.174 0.299 1
Sm2 0.077 0.321 0.945 1
Tl1 0.000 0.000 0.000 1
Tl2 0.126 0.251 0.621 1
Cd1 0.000 0.500 0.250 1
```

[14]
A plane-wave DFT calculation with PBE was carried out for a relaxed structure of Sm6Tl5Cd.

Cell and atoms, written as CIF:
```
data_Sm6Tl5Cd
_cell_length_a 10.013
_cell_length_b 11.553
_cell_length_c 6.576
_cell_angle_alpha 90.00
_cell_angle_beta 103.08
_cell_angle_gamma 90.00
_symmetry_space_group_name_H-M 'C 1 2/m 1'
_symmetry_Int_Tables_number 12
_symmetry_space_group_name_Hall '-C 2y'
loop_
_atom_site_label
_atom_site_fract_x
_atom_site_fract_y
_atom_site_fract_z
_atom_site_occupancy
Sm1 0.249 0.000 0.245 1
Sm2 0.249 0.166 0.750 1
Tl1 0.000 0.000 0.500 1
Tl2 0.000 0.171 0.000 1
Tl3 0.000 0.337 0.500 1
Cd1 0.000 0.500 0.000 1
```

[15]
A plane-wave DFT calculation with PBE was carried out for a relaxed structure of Sm4Tl2Cd3.

Cell and atoms, written as CIF:
```
data_Sm4Tl2Cd3
_cell_length_a 5.2788
_cell_length_b 5.2788
_cell_length_c 10.3863
_cell_angle_alpha 90.00
_cell_angle_beta 90.00
_cell_angle_gamma 120.00
_symmetry_space_group_name_H-M 'P -3 m 1'
_symmetry_Int_Tables_number 164
_symmetry_space_group_name_Hall '-P 3 2"'
loop_
_atom_site_label
_atom_site_fract_x
_atom_site_fract_y
_atom_site_fract_z
_atom_site_occupancy
Sm1 0.0000 0.0000 0.1695 1
Sm2 0.3333 0.6667 0.6158 1
Tl1 0.3333 0.6667 0.2903 1
Cd1 0.0000 0.0000 0.5000 1
Cd2 0.3333 0.6667 0.9717 1
```

[16]
A plane-wave DFT calculation with PBE was carried out for a relaxed structure of SmTl6Cd23.

Cell and atoms, written as CIF:
```
data_SmTl6Cd23
_cell_length_a 14.424
_cell_length_b 14.424
_cell_length_c 14.424
_cell_angle_alpha 90.00
_cell_angle_beta 90.00
_cell_angle_gamma 90.00
_symmetry_space_group_name_H-M 'F m -3 m'
_symmetry_Int_Tables_number 225
_symmetry_space_group_name_Hall '-F 4 2 3'
loop_
_atom_site_label
_atom_site_fract_x
_atom_site_fract_y
_atom_site_fract_z
_atom_site_occupancy
Sm1 0.000 0.000 0.000 1
Tl1 0.000 0.000 0.225 1
Cd1 0.000 0.000 0.500 1
Cd2 0.000 0.250 0.250 1
Cd3 0.124 0.124 0.376 1
Cd4 0.157 0.157 0.157 1
```

[17]
A plane-wave DFT calculation with PBE was carried out for a relaxed structure of Sm6Tl5Cd.

Cell and atoms, written as CIF:
```
data_Sm6Tl5Cd
_cell_length_a 5.467
_cell_length_b 16.396
_cell_length_c 7.670
_cell_angle_alpha 90.00
_cell_angle_beta 90.00
_cell_angle_gamma 90.00
_symmetry_space_group_name_H-M 'C m m m'
_symmetry_Int_Tables_number 65
_symmetry_space_group_name_Hall '-C 2 2'
loop_
_atom_site_label
_atom_site_fract_x
_atom_site_fract_y
_atom_site_fract_z
_atom_site_occupancy
Sm1 0.000 0.000 0.249 1
Sm2 0.000 0.333 0.248 1
Tl1 0.000 0.163 0.000 1
Tl2 0.000 0.167 0.500 1
Tl3 0.000 0.500 0.500 1
Cd1 0.000 0.500 0.000 1
```

[18]
A plane-wave DFT calculation with PBE was carried out for a relaxed structure of Sm3Tl2Cd3.

Cell and atoms, written as CIF:
```
data_Sm3Tl2Cd3
_cell_length_a 19.226
_cell_length_b 4.560
_cell_length_c 5.139
_cell_angle_alpha 90.00
_cell_angle_beta 105.24
_cell_angle_gamma 90.00
_symmetry_space_group_name_H-M 'C 1 2/m 1'
_symmetry_Int_Tables_number 12
_symmetry_space_group_name_Hall '-C 2y'
loop_
_atom_site_label
_atom_site_fract_x
_atom_site_fract_y
_atom_site_fract_z
_atom_site_occupancy
Sm1 0.000 0.000 0.000 1
Sm2 0.135 0.000 0.632 1
Tl1 0.241 0.000 0.239 1
Cd1 0.000 0.500 0.500 1
Cd2 0.123 0.500 0.120 1
```

[19]
A plane-wave DFT calculation with PBE was carried out for a relaxed structure of Sm3TlCd2.

Cell and atoms, written as CIF:
```
data_Sm3TlCd2
_cell_length_a 5.405
_cell_length_b 16.351
_cell_length_c 3.829
_cell_angle_alpha 90.00
_cell_angle_beta 90.00
_cell_angle_gamma 90.00
_symmetry_space_group_name_H-M 'C m m m'
_symmetry_Int_Tables_number 65
_symmetry_space_group_name_Hall '-C 2 2'
loop_
_atom_site_label
_atom_site_fract_x
_atom_site_fract_y
_atom_site_fract_z
_atom_site_occupancy
Sm1 0.000 0.000 0.000 1
Sm2 0.000 0.333 0.000 1
Tl1 0.000 0.500 0.500 1
Cd1 0.000 0.171 0.500 1
```

[20]
A plane-wave DFT calculation with PBE was carried out for a relaxed structure of Sm3Tl2Cd.

Cell and atoms, written as CIF:
```
data_Sm3Tl2Cd
_cell_length_a 3.805
_cell_length_b 3.805
_cell_length_c 11.818
_cell_angle_alpha 90.00
_cell_angle_beta 90.00
_cell_angle_gamma 90.00
_symmetry_space_group_name_H-M 'P 4/m m m'
_symmetry_Int_Tables_number 123
_symmetry_space_group_name_Hall '-P 4 2'
loop_
_atom_site_label
_atom_site_fract_x
_atom_site_fract_y
_atom_site_fract_z
_atom_site_occupancy
Sm1 0.000 0.000 0.000 1
Sm2 0.000 0.000 0.341 1
Tl1 0.500 0.500 0.173 1
Cd1 0.500 0.500 0.500 1
```

[21]
A plane-wave DFT calculation with PBE was carried out for a relaxed structure of Sm6Tl2Cd.

Cell and atoms, written as CIF:
```
data_Sm6Tl2Cd
_cell_length_a 16.563
_cell_length_b 7.496
_cell_length_c 5.249
_cell_angle_alpha 90.00
_cell_angle_beta 107.96
_cell_angle_gamma 90.00
_symmetry_space_group_name_H-M 'C 1 2/m 1'
_symmetry_Int_Tables_number 12
_symmetry_space_group_name_Hall '-C 2y'
loop_
_atom_site_label
_atom_site_fract_x
_atom_site_fract_y
_atom_site_fract_z
_atom_site_occupancy
Sm1 0.000 0.245 0.000 1
Sm2 0.166 0.248 0.666 1
Tl1 0.166 0.500 0.166 1
Cd1 0.000 0.000 0.500 1
```

Number 1: DFT formation energy -150 meV per atom. Number 2: DFT formation energy -266 meV per atom. Number 3: DFT formation energy -288 meV per atom. Number 4: DFT formation energy -206 meV per atom. Number 5: DFT formation energy -323 meV per atom. Number 6: DFT formation energy -295 meV per atom. Number 7: DFT formation energy -366 meV per atom. Number 8: DFT formation energy -311 meV per atom. Number 9: DFT formation energy -348 meV per atom. Number 10: DFT formation energy -177 meV per atom. Number 11: DFT formation energy -159 meV per atom. Number 12: DFT formation energy -131 meV per atom. Number 13: DFT formation energy -249 meV per atom. Number 14: DFT formation energy -244 meV per atom. Number 15: DFT formation energy -283 meV per atom. Number 16: DFT formation energy 16 meV per atom. Number 17: DFT formation energy -375 meV per atom. Number 18: DFT formation energy -252 meV per atom. Number 19: DFT formation energy -337 meV per atom. Number 20: DFT formation energy -360 meV per atom. Number 21: DFT formation energy 4 meV per atom.